A geometry-optimized BaSrCrRu2 structure, computed with PBE-GGA.

Structure (CIF):
```
data_BaSrCrRu2
_cell_length_a 5.114
_cell_length_b 5.114
_cell_length_c 5.027
_cell_angle_alpha 90.00
_cell_angle_beta 90.00
_cell_angle_gamma 90.00
_space_group_name_H-M_alt 'P 4/m m m'
_space_group_IT_number 123
_space_group_name_Hall '-P 4 2'
loop_
_atom_site_label
_atom_site_fract_x
_atom_site_fract_y
_atom_site_fract_z
_atom_site_occupancy
Ba1 0.000 0.000 0.000 1
Sr1 0.500 0.500 0.500 1
Cr1 0.500 0.500 0.000 1
Ru1 0.000 0.500 0.500 1
```

Properties
N(E_F): 2.3466 states/eV/atom
Crystal system: tetragonal
Energy of formation: 2.130 eV/atom
Magnetic moment: 1.104 μB per formula unit

---

A geometry-optimized BaCr2TeRu structure, computed with PBE-GGA.

Structure (CIF):
```
data_BaCr2TeRu
_cell_length_a 4.898
_cell_length_b 4.898
_cell_length_c 5.056
_cell_angle_alpha 90.00
_cell_angle_beta 90.00
_cell_angle_gamma 90.00
_space_group_name_H-M_alt 'P 4/m m m'
_space_group_IT_number 123
_space_group_name_Hall '-P 4 2'
loop_
_atom_site_label
_atom_site_fract_x
_atom_site_fract_y
_atom_site_fract_z
_atom_site_occupancy
Ba1 0.000 0.000 0.000 1
Cr1 0.000 0.500 0.500 1
Te1 0.500 0.500 0.500 1
Ru1 0.500 0.500 0.000 1
```

Properties
N(E_F): 2.6522 states/eV/atom
Crystal system: tetragonal
Magnetic moment: 0.679 μB per formula unit
Raw formation energy: 1.282 eV per atom

---

A geometry-optimized BaZn2CrRu structure, computed with PBE-GGA.

Structure (CIF):
```
data_BaZn2CrRu
_cell_length_a 5.006
_cell_length_b 5.006
_cell_length_c 4.452
_cell_angle_alpha 90.00
_cell_angle_beta 90.00
_cell_angle_gamma 90.00
_space_group_name_H-M_alt 'P 4/m m m'
_space_group_IT_number 123
_space_group_name_Hall '-P 4 2'
loop_
_atom_site_label
_atom_site_fract_x
_atom_site_fract_y
_atom_site_fract_z
_atom_site_occupancy
Ba1 0.000 0.000 0.000 1
Zn1 0.000 0.500 0.500 1
Cr1 0.500 0.500 0.500 1
Ru1 0.500 0.500 0.000 1
```

Properties
N(E_F): 0.9277 states/eV/atom
Crystal system: tetragonal
Energy of formation: 0.433 eV/atom
Magnetic moment: 1.536 μB per formula unit

---

A geometry-optimized Ba3Cr2S6 structure, computed with PBE-GGA.

Structure (CIF):
```
data_Ba3Cr2S6
_cell_length_a 11.9268
_cell_length_b 11.9268
_cell_length_c 12.9368
_cell_angle_alpha 90.00
_cell_angle_beta 90.00
_cell_angle_gamma 120.00
_space_group_name_H-M_alt 'R -3 c'
_space_group_IT_number 167
_space_group_name_Hall '-R 3 2"c'
loop_
_atom_site_label
_atom_site_fract_x
_atom_site_fract_y
_atom_site_fract_z
_atom_site_occupancy
Ba1 0.0000 0.3843 0.2500 1
Cr1 0.0000 0.0000 0.0000 1
Cr2 0.0000 0.0000 0.2500 1
S1 0.0296 0.1690 0.3787 1
```

Properties
Crystal system: trigonal
Magnetic moment: 6.000 μB per formula unit
Raw formation energy: -1.433 eV per atom

---

A geometry-optimized BaCrS3 structure, computed with PBE-GGA.

Structure (CIF):
```
data_BaCrS3
_cell_length_a 17.137
_cell_length_b 4.672
_cell_length_c 7.446
_cell_angle_alpha 90.00
_cell_angle_beta 114.41
_cell_angle_gamma 90.00
_space_group_name_H-M_alt 'C 1 2/m 1'
_space_group_IT_number 12
_space_group_name_Hall '-C 2y'
loop_
_atom_site_label
_atom_site_fract_x
_atom_site_fract_y
_atom_site_fract_z
_atom_site_occupancy
Ba1 0.116 0.000 0.238 1
Cr1 0.173 0.500 0.842 1
S1 0.052 0.500 0.874 1
S2 0.175 0.500 0.552 1
S3 0.195 0.000 0.907 1
```

Properties
N(E_F): 0.1654 states/eV/atom
Crystal system: monoclinic
Magnetic moment: 2.000 μB per formula unit
Raw formation energy: -1.083 eV per atom

---

A geometry-optimized BaCrS2 structure, computed with PBE-GGA.

Structure (CIF):
```
data_BaCrS2
_cell_length_a 5.934
_cell_length_b 5.934
_cell_length_c 11.745
_cell_angle_alpha 90.00
_cell_angle_beta 90.00
_cell_angle_gamma 90.00
_space_group_name_H-M_alt 'I -4 2 d'
_space_group_IT_number 122
_space_group_name_Hall 'I -4 2bw'
loop_
_atom_site_label
_atom_site_fract_x
_atom_site_fract_y
_atom_site_fract_z
_atom_site_occupancy
Ba1 0.000 0.000 0.000 1
Cr1 0.000 0.000 0.500 1
S1 0.114 0.250 0.625 1
```

Properties
N(E_F): 0.5621 states/eV/atom
Crystal system: tetragonal
Magnetic moment: 0.002 μB per formula unit
Raw formation energy: -0.874 eV per atom